[1]
VASP calculation (meta-GGA SCAN) on a crystal of LaSOF2 relaxed with PBEsol.

a b c (Å): 3.5117 4.6633 4.6633
angles (deg): 90.00 90.00 90.00
Closest atoms and distances in Å follow each position.
Fractional coordinates of all 5 atoms:
La (0.5000, 0.5000, 0.5000)  8 F 2.92
O (0.5000, 0.0000, 0.0000)  2 S 1.76
F (0.0000, 0.0000, 0.5000)  2 S 2.33
S (0.0000, 0.0000, 0.0000)  2 O 1.76
F (0.0000, 0.5000, 0.0000)  2 S 2.33

ΔE_f (raw)	-1.59	eV per atom
space group	P4/mmm, No. 123
DOS(E_F)	2.18	states/eV per cell
crystal system	tetragonal
magnetic moment	0.00	Bohr magnetons per cell

[2]
VASP calculation (meta-GGA SCAN) on a crystal of LaSnO2F relaxed with PBEsol.

a b c (Å): 4.2991 4.2991 4.3312
angles (deg): 90.00 90.00 90.00
Closest atoms and distances in Å follow each position.
Fractional coordinates of all 5 atoms:
O (0.5000, 0.0000, 0.0000)  2 Sn 2.15
Sn (0.0000, 0.0000, 0.0000)  4 O 2.15, 2 F 2.17
La (0.5000, 0.5000, 0.5000)  4 F 3.04, 8 O 3.05
O (0.0000, 0.5000, 0.0000)  2 Sn 2.15
F (0.0000, 0.0000, 0.5000)  2 Sn 2.17

ΔE_f (raw)	-1.96	eV per atom
space group	P4/mmm, No. 123
DOS(E_F)	3.03	states/eV per cell
crystal system	tetragonal
magnetic moment	0.18	Bohr magnetons per cell

Among the records above, which one has the highest ΔE_f (raw)? LaSOF2